<one>
This record from Alexandria describes a geometry-optimized SrY2O2 structure. The functional is PBE-GGA.

Unit cell a=4.5041 b=4.5041 c=7.1665 alpha=71.68 beta=71.68 gamma=90.00
Sites, in units of the cell vectors:
O  0.7914  0.7914  0.4172
O  0.2086  0.2086  0.5828
Y  0.7500  0.2500  0.5000
Y  0.2500  0.7500  0.5000
Sr  0.0000  0.0000  0.0000

<two>
This record from Alexandria describes a geometry-optimized SrY2O2 structure. The functional is PBE-GGA.

Unit cell a=7.5780 b=7.5780 c=4.3197 alpha=90.00 beta=90.00 gamma=90.00
Sites, in units of the cell vectors:
Y  0.8287  0.3287  0.5000
Y  0.3287  0.1713  0.5000
Y  0.6713  0.8287  0.5000
Y  0.1713  0.6713  0.5000
O  0.2932  0.2068  0.0000
O  0.7932  0.2932  0.0000
O  0.7068  0.7932  0.0000
O  0.2068  0.7068  0.0000
Sr  0.5000  0.5000  0.0000
Sr  0.0000  0.0000  0.0000

Of them, the most stable is <one> and the least stable is <two>.

<one>
This record from Alexandria describes a geometry-optimized Sr2YO2 structure. The functional is PBE-GGA.

Unit cell a=7.8817 b=7.8817 c=3.2061 alpha=90.00 beta=90.00 gamma=90.00
Each line ends with the local moment (μB).
Sites, in units of the cell vectors:
Sr  0.1412  0.3588  0.0000  0.11
Sr  0.8588  0.6412  0.0000  0.11
Sr  0.3588  0.8588  0.0000  0.11
Sr  0.6412  0.1412  0.0000  0.11
O  0.6523  0.8477  0.5000  0.01
O  0.3477  0.1523  0.5000  0.01
O  0.1523  0.6523  0.5000  0.00
O  0.8477  0.3477  0.5000  0.00
Y  0.0000  0.0000  0.0000  0.67
Y  0.5000  0.5000  0.0000  0.67

<two>
This record from Alexandria describes a geometry-optimized Sr2YO2 structure. The functional is PBE-GGA.

Unit cell a=4.5206 b=4.5206 c=7.0074 alpha=71.18 beta=71.18 gamma=90.00
Each line ends with the local moment (μB).
Sites, in units of the cell vectors:
Y  0.0000  0.0000  0.0000  0.35
Sr  0.6788  0.6788  0.6423  0.01
Sr  0.3212  0.3212  0.3577  0.01
O  0.2500  0.7500  0.5000  0.01
O  0.7500  0.2500  0.5000  0.01

Of them, the most stable is <two> and the least stable is <one>.

<one>
This record from Alexandria describes a geometry-optimized Sr2ZnO3 structure. The functional is PBE-GGA.

Unit cell a=5.7361 b=6.1955 c=11.9941 alpha=88.26 beta=86.23 gamma=62.42
Sites, in units of the cell vectors:
O  0.4891  0.3586  0.1292
O  0.6854  0.2011  0.5278
O  0.8865  0.7989  0.0278
O  0.8477  0.6414  0.6292
O  0.6073  0.7854  0.2500
O  0.1135  0.2011  0.9722
O  0.5109  0.6414  0.8708
O  0.9836  0.0329  0.2500
O  0.3927  0.2146  0.7500
O  0.0164  0.9671  0.7500
O  0.1523  0.3586  0.3708
O  0.3146  0.7989  0.4722
Sr  0.1217  0.2091  0.5744
Sr  0.0249  0.4177  0.1513
Sr  0.5575  0.4177  0.3487
Sr  0.9751  0.5823  0.8487
Sr  0.6692  0.2091  0.9256
Sr  0.8783  0.7909  0.4256
Sr  0.4425  0.5823  0.6513
Sr  0.3308  0.7909  0.0744
Zn  0.7257  0.9908  0.6617
Zn  0.2743  0.0092  0.3383
Zn  0.7165  0.0092  0.1617
Zn  0.2835  0.9908  0.8383

<two>
This record from Alexandria describes a geometry-optimized Sr2ZnO3 structure. The functional is PBE-GGA.

Unit cell a=3.3011 b=6.0730 c=9.0903 alpha=90.00 beta=100.46 gamma=90.00
Sites, in units of the cell vectors:
Zn  0.3375  0.7500  0.6749
Zn  0.6625  0.2500  0.3251
Sr  0.0195  0.2500  0.0390
Sr  0.9805  0.7500  0.9610
Sr  0.8332  0.2500  0.6664
Sr  0.1668  0.7500  0.3336
O  0.2251  0.2500  0.4501
O  0.4136  0.4974  0.8273
O  0.5864  0.5026  0.1727
O  0.4136  0.0026  0.8273
O  0.5864  0.9974  0.1727
O  0.7749  0.7500  0.5499

Of them, the most stable is <one> and the least stable is <two>.

<one>
This record from Alexandria describes a geometry-optimized Sr2ZnO structure. The functional is PBE-GGA.

Unit cell a=3.7465 b=3.7465 c=9.6619 alpha=78.82 beta=78.82 gamma=60.00
Each line ends with the local moment (μB).
Sites, in units of the cell vectors:
O  0.5000  0.5000  0.5000  -0.01
Sr  0.1146  0.1146  0.6562  0.09
Sr  0.8854  0.8854  0.3438  0.09
Zn  0.0000  0.0000  0.0000  0.01

<two>
This record from Alexandria describes a geometry-optimized Sr2ZnO structure. The functional is PBE-GGA.

Unit cell a=7.1818 b=7.1818 c=6.8234 alpha=58.25 beta=58.25 gamma=90.00
Sites, in units of the cell vectors:
Zn  0.7500  0.2500  0.5000
Zn  0.0000  0.0000  0.0000
O  0.2500  0.7500  0.5000
O  0.5000  0.5000  0.0000
Sr  0.8750  0.7767  0.7500
Sr  0.5267  0.1250  0.2500
Sr  0.3750  0.4733  0.7500
Sr  0.2233  0.6250  0.2500

<three>
This record from Alexandria describes a geometry-optimized Sr2ZnO structure. The functional is PBE-GGA.

Unit cell a=5.1790 b=5.1790 c=5.1790 alpha=60.00 beta=60.00 gamma=60.00
Sites, in units of the cell vectors:
Sr  0.2500  0.2500  0.2500
Sr  0.7500  0.7500  0.7500
O  0.0000  0.0000  0.0000
Zn  0.5000  0.5000  0.5000

Of them, the most stable is <two> and the least stable is <three>.

<one>
This record from Alexandria describes a geometry-optimized TaO3 structure. The functional is PBE-GGA.

Unit cell a=4.6877 b=4.6877 c=3.7078 alpha=90.00 beta=90.00 gamma=120.00
Each line ends with the local moment (μB).
Sites, in units of the cell vectors:
O  0.1803  0.8197  0.2500  0.30
O  0.3607  0.1803  0.7500  0.30
O  0.8197  0.6393  0.7500  0.30
O  0.1803  0.3607  0.2500  0.30
O  0.6393  0.8197  0.2500  0.30
O  0.8197  0.1803  0.7500  0.30
Ta  0.6667  0.3333  0.2500  -0.07
Ta  0.3333  0.6667  0.7500  -0.07

<two>
This record from Alexandria describes a geometry-optimized TaO3 structure. The functional is PBE-GGA.

Unit cell a=6.8604 b=6.8604 c=6.8604 alpha=109.47 beta=109.47 gamma=109.47
Each line ends with the local moment (μB).
Sites, in units of the cell vectors:
O  0.5000  0.7499  0.7501  0.32
O  0.0002  0.2501  0.7501  0.32
O  0.5000  0.2501  0.2499  0.32
O  0.2499  0.9998  0.7499  0.32
O  0.2501  0.2499  0.5000  0.32
O  0.9998  0.7499  0.2499  0.32
O  0.7499  0.2499  0.9998  0.32
O  0.7501  0.0002  0.2501  0.32
O  0.7499  0.7501  0.5000  0.32
O  0.2501  0.7501  0.0002  0.32
O  0.2499  0.5000  0.2501  0.32
O  0.7501  0.5000  0.7499  0.32
Ta  0.0000  0.0000  0.5000  -0.11
Ta  0.0000  0.5000  0.0000  -0.11
Ta  0.5000  0.0000  0.0000  -0.11
Ta  0.5000  0.5000  0.5000  -0.11

<three>
This record from Alexandria describes a geometry-optimized TaO3 structure. The functional is PBE-GGA.

Unit cell a=3.2629 b=3.9397 c=6.3800 alpha=90.00 beta=90.00 gamma=114.46
Each line ends with the local moment (μB).
Sites, in units of the cell vectors:
Ta  0.2672  0.5344  0.2500  -0.05
Ta  0.7328  0.4656  0.7500  -0.05
O  0.8529  0.7058  0.0571  0.35
O  0.5677  0.1353  0.2500  0.24
O  0.1471  0.2942  0.9429  0.35
O  0.8529  0.7058  0.4429  0.35
O  0.4323  0.8647  0.7500  0.24
O  0.1471  0.2942  0.5571  0.35

Of them, the most stable is <two> and the least stable is <one>.

<one>
This record from Alexandria describes a geometry-optimized Ta11O2 structure. The functional is PBE-GGA.

Unit cell a=8.1789 b=9.7369 c=7.4930 alpha=73.38 beta=96.44 gamma=131.47
Sites, in units of the cell vectors:
Ta  0.6956  0.3393  0.8451
Ta  0.0961  0.4469  0.6064
Ta  0.9325  0.9176  0.2619
Ta  0.2707  0.9886  0.9667
Ta  0.6691  0.0944  0.7107
Ta  0.8543  0.7515  0.6475
Ta  0.5471  0.8122  0.5068
Ta  0.9572  0.0314  0.8334
Ta  0.4802  0.6518  0.8969
Ta  0.3667  0.2634  0.1396
Ta  0.1908  0.8301  0.3573
Ta  0.4587  0.5349  0.3248
Ta  0.3972  0.3902  0.7276
Ta  0.6762  0.2113  0.2774
Ta  0.0027  0.1756  0.4263
Ta  0.7410  0.4673  0.4399
Ta  0.8228  0.6254  0.0550
Ta  0.2186  0.7359  0.8121
Ta  0.1611  0.5861  0.2168
Ta  0.5937  0.9437  0.1055
Ta  0.0407  0.3040  0.0143
Ta  0.3108  0.1194  0.5563
O  0.9306  0.4681  0.0269
O  0.4279  0.9611  0.5346
O  0.7090  0.7814  0.0790
O  0.9769  0.6042  0.6307

<two>
This record from Alexandria describes a geometry-optimized Ta11O2 structure. The functional is PBE-GGA.

Unit cell a=7.6653 b=7.4313 c=9.1975 alpha=109.78 beta=106.21 gamma=100.77
Sites, in units of the cell vectors:
Ta  0.9124  0.6097  0.9359
Ta  0.6320  0.4894  0.1070
Ta  0.6205  0.4892  0.6210
Ta  0.3856  0.0788  0.4545
Ta  0.3984  0.4229  0.2916
Ta  0.6631  0.8377  0.4577
Ta  0.8812  0.5769  0.4674
Ta  0.1777  0.0264  0.1392
Ta  0.1182  0.3174  0.9574
Ta  0.0868  0.9937  0.6010
Ta  0.8669  0.9067  0.7825
Ta  0.0747  0.6138  0.2589
Ta  0.6651  0.1808  0.8104
Ta  0.3648  0.7295  0.1140
Ta  0.1243  0.3196  0.4391
Ta  0.8737  0.2546  0.6175
Ta  0.8747  0.9055  0.2687
Ta  0.3647  0.0684  0.9326
Ta  0.5992  0.8191  0.9444
Ta  0.3595  0.7200  0.6156
Ta  0.6240  0.1602  0.2739
Ta  0.3551  0.4248  0.7845
O  0.8928  0.9110  0.0267
O  0.3661  0.7523  0.3814
O  0.8719  0.3902  0.0347
O  0.3764  0.0386  0.6816

<three>
This record from Alexandria describes a geometry-optimized Ta11O2 structure. The functional is PBE-GGA.

Unit cell a=7.2960 b=8.2649 c=9.9308 alpha=105.61 beta=112.59 gamma=112.40
Sites, in units of the cell vectors:
Ta  0.0324  0.2061  0.2548
Ta  0.5912  0.3848  0.7848
Ta  0.5360  0.9129  0.9923
Ta  0.3397  0.0084  0.4051
Ta  0.6878  0.3295  0.0703
Ta  0.5951  0.8784  0.2786
Ta  0.1052  0.6079  0.0405
Ta  0.1752  0.0752  0.8249
Ta  0.4104  0.4464  0.1911
Ta  0.0923  0.1326  0.5379
Ta  0.2400  0.0237  0.1071
Ta  0.7648  0.2957  0.3686
Ta  0.9224  0.7127  0.4525
Ta  0.4306  0.9771  0.7039
Ta  0.8118  0.2288  0.6800
Ta  0.1851  0.6183  0.3480
Ta  0.6537  0.8427  0.5607
Ta  0.3501  0.4894  0.9086
Ta  0.3265  0.5789  0.6280
Ta  0.8487  0.7544  0.1479
Ta  0.0491  0.6448  0.7537
Ta  0.5280  0.4235  0.4916
O  0.0568  0.3887  0.6366
O  0.0462  0.3715  0.1192
O  0.8665  0.7586  0.6698
O  0.8835  0.9456  0.0428

Of them, the most stable is <one> and the least stable is <two>.

<one>
This record from Alexandria describes a geometry-optimized Tb3TaO7 structure. The functional is PBE-GGA.

Unit cell a=6.4884 b=6.4884 c=7.5459 alpha=90.00 beta=90.00 gamma=110.54
Sites, in units of the cell vectors:
O  0.5633  0.8212  0.0350
O  0.1788  0.4367  0.5350
O  0.8883  0.1530  0.2500
O  0.1788  0.4367  0.9650
O  0.4367  0.1788  0.9650
O  0.1117  0.8470  0.7500
O  0.8212  0.5633  0.4650
O  0.8212  0.5633  0.0350
O  0.4233  0.4233  0.2500
O  0.4367  0.1788  0.5350
O  0.5633  0.8212  0.4650
O  0.8470  0.1117  0.7500
O  0.5767  0.5767  0.7500
O  0.1530  0.8883  0.2500
Ta  0.5000  0.5000  0.5000
Ta  0.5000  0.5000  0.0000
Tb  0.5167  0.0578  0.2500
Tb  0.0000  0.0000  0.0000
Tb  0.4833  0.9422  0.7500
Tb  0.9422  0.4833  0.7500
Tb  0.0578  0.5167  0.2500
Tb  0.0000  0.0000  0.5000

<two>
This record from Alexandria describes a geometry-optimized Tb3TaO7 structure. The functional is PBE-GGA.

Unit cell a=6.5327 b=6.5327 c=7.4992 alpha=90.00 beta=90.00 gamma=108.57
Sites, in units of the cell vectors:
O  0.3602  0.6398  0.2500
O  0.3277  0.0828  0.9765
O  0.9328  0.0672  0.7500
O  0.3049  0.0470  0.5451
O  0.6288  0.3712  0.2500
O  0.9172  0.6723  0.5235
O  0.6951  0.9530  0.0451
O  0.0828  0.3277  0.0235
O  0.3712  0.6288  0.7500
O  0.9530  0.6951  0.9549
O  0.6398  0.3602  0.7500
O  0.0470  0.3049  0.4549
O  0.6723  0.9172  0.4765
O  0.0672  0.9328  0.2500
Tb  0.5384  0.5384  0.5000
Tb  0.0004  0.4645  0.7405
Tb  0.5355  0.9996  0.7595
Tb  0.4645  0.0004  0.2595
Tb  0.9996  0.5355  0.2405
Tb  0.4616  0.4616  0.0000
Ta  0.9981  0.9981  0.0000
Ta  0.0019  0.0019  0.5000

Of them, the most stable is <two> and the least stable is <one>.

<one>
This record from Alexandria describes a geometry-optimized TaTc3O structure. The functional is PBE-GGA.

Unit cell a=4.7892 b=4.7892 c=4.7892 alpha=90.00 beta=90.00 gamma=90.00
Each line ends with the local moment (μB).
Sites, in units of the cell vectors:
Ta  0.0000  0.0000  0.0000  -0.26
O  0.5000  0.5000  0.5000  1.02
Tc  0.0000  0.5000  0.0000  1.59
Tc  0.0000  0.0000  0.5000  1.36
Tc  0.5000  0.0000  0.0000  1.81

<two>
This record from Alexandria describes a geometry-optimized TaTc3O structure. The functional is PBE-GGA.

Unit cell a=4.0952 b=4.0952 c=4.0952 alpha=90.00 beta=90.00 gamma=90.00
Sites, in units of the cell vectors:
Tc  0.5000  0.0000  0.0000
Tc  0.0000  0.0000  0.5000
Tc  0.0000  0.5000  0.0000
Ta  0.5000  0.5000  0.5000
O  0.0000  0.0000  0.0000

Of them, the most stable is <two> and the least stable is <one>.